Record 1
An optimized crystal structure of HfBP2Cl. Source: the Alexandria database, functional PBE.

```
HfBP2Cl
1.0
4.2024 0.0000 0.0000
0.0000 4.2024 0.0000
0.0000 0.0000 4.3203
P Hf B Cl
2 1 1 1
Cartesian
2.1012 0.0000 0.0000
0.0000 2.1012 0.0000
2.1012 2.1012 2.1601
0.0000 0.0000 0.0000
0.0000 0.0000 2.1601
```

Computed properties:
- calculated total energy (eV per atom) = -5.489
- formation energy (no corrections) (kcal/mol of atoms) = 8.55
- energy relative to the lowest polymorph listed for this composition (kJ/mol of atoms) = 0.00
- density (Mg/m³) = 6.24

---

Record 2
An optimized crystal structure of MnCrPb2. Source: the Alexandria database, functional PBE.

```
MnCrPb2
1.0
9.0046 -0.0044 -0.0026
8.3435 3.3867 -0.0026
8.3435 1.6267 2.9705
Cr Pb Mn
1 2 1
Cartesian
6.4229 1.2523 0.7413
12.8336 2.5022 1.4812
0.0122 0.0024 0.0014
19.2686 3.7568 2.2240
```

Computed properties:
- calculated total energy (eV per atom) = -5.980
- energy relative to the lowest polymorph listed for this composition (kJ/mol of atoms) = 24.74
- density (Mg/m³) = 9.54
- formation energy (kJ/mol of atoms) = 55

---

Record 3
An optimized crystal structure of AlSeBr. Source: the Alexandria database, functional PBE.

```
AlSeBr
1.0
3.6931 0.0000 0.0000
-1.8466 3.1983 0.0000
0.0000 0.0000 7.0625
Al Se Br
1 1 1
Cartesian
0.0000 0.0000 6.8989
0.0000 2.1322 5.6653
1.8466 1.0661 1.5607
```

Computed properties:
- calculated total energy (eV per atom) = -3.887
- formation energy (no corrections) (kcal/mol of atoms) = -21.22
- density (Mg/m³) = 3.70

---

Record 4
An optimized crystal structure of CsTcW2. Source: the Alexandria database, functional PBE.

```
CsTcW2
1.0
-3.7266 -2.8422 0.4179
-4.1668 1.7593 1.2974
-3.5173 0.2589 -3.1148
W Tc Cs
2 1 1
Cartesian
-8.5580 -0.6180 -1.0496
-2.8527 -0.2060 -0.3499
0.0000 0.0000 0.0000
-5.7053 -0.4120 -0.6998
```

Computed properties:
- calculated total energy (eV per atom) = -7.219
- energy relative to the lowest polymorph listed for this composition (kJ/mol of atoms) = 0.00
- density (Mg/m³) = 13.49
- formation energy (kJ/mol of atoms) = 199

---

Record 5
An optimized crystal structure of NaNi. Source: the Alexandria database, functional PBE.

```
NaNi
1.0
12.5653 0.0000 0.0000
0.0000 2.6296 0.0000
0.0000 0.0000 6.9417
Na Ni
6 6
Cartesian
9.8721 0.7303 5.1633
6.2827 0.7378 3.8907
0.0000 1.8918 0.4199
3.5894 1.8993 1.6924
2.6932 0.7303 5.1633
8.9759 1.8993 1.6924
6.2827 0.7375 0.9707
0.0000 1.8921 4.4416
11.3928 0.5693 2.8256
1.1726 0.5693 2.8256
7.4552 2.0603 6.2964
5.1101 2.0603 6.2964
```

Computed properties:
- calculated total energy (eV per atom) = -3.147
- density (Mg/m³) = 3.55
- formation energy (kJ/mol of atoms) = 39

---

Record 6
An optimized crystal structure of NaIn2I8. Source: the Alexandria database, functional PBE.

```
NaIn2I8
1.0
-7.5247 -2.4489 4.0714
-0.0360 -7.3579 -4.4921
4.0038 0.3753 7.6255
I In Na
8 2 1
Cartesian
-0.5401 -1.6087 2.6392
1.5742 -5.3293 4.3088
1.5933 -1.4087 6.7024
-3.0167 -7.8229 4.5655
0.1069 -5.1719 0.1984
-5.1501 -8.0228 0.5024
-5.1310 -4.1022 2.8960
-3.6637 -4.2596 7.0064
1.5230 -2.5716 4.2000
-5.0798 -6.8599 3.0048
-3.7623 -1.2244 2.0357
```

Computed properties:
- calculated total energy (eV per atom) = -2.217
- formation energy (no corrections) (kcal/mol of atoms) = -10.87
- energy relative to the lowest polymorph listed for this composition (kJ/mol of atoms) = 5.20
- density (Mg/m³) = 3.68

---

Record 7
An optimized crystal structure of Ce3Se2Cl. Source: the Alexandria database, functional PBE.

```
Ce3Se2Cl
1.0
7.0951 -0.0225 -1.1868
-3.8233 5.9769 -1.1869
-0.0243 -0.0442 7.1303
Ce Cl Se
6 2 4
Cartesian
0.6309 5.4598 3.5957
2.6212 0.4867 1.1699
4.2422 3.4367 3.5866
-1.0228 2.4502 1.1608
2.4611 4.4508 -0.0169
0.8102 1.4464 4.7735
-3.8397 5.9284 5.9434
3.4477 1.9816 -1.1869
-1.9869 4.9391 2.3783
-0.1838 3.9771 -1.1869
5.2633 0.9553 2.3783
1.5950 2.9709 2.3783
```

Computed properties:
- calculated total energy (eV per atom) = -6.111
- formation energy (no corrections) (kcal/mol of atoms) = -38.63
- density (Mg/m³) = 6.77

---

Record 8
An optimized crystal structure of YTm2Al. Source: the Alexandria database, functional PBE.

```
YTm2Al
1.0
-1.0530 -1.8847 2.7519
3.1051 0.5000 1.5306
-3.0962 7.3809 3.8701
Tm Y Al
2 1 1
Cartesian
-0.6557 1.5630 0.8196
-2.4405 5.8178 3.0505
-0.5221 2.9981 4.0763
1.0260 -0.6923 2.1413
```

Computed properties:
- calculated total energy (eV per atom) = -4.986
- energy relative to the lowest polymorph listed for this composition (kJ/mol of atoms) = 0.03
- density (Mg/m³) = 6.93
- formation energy (kJ/mol of atoms) = -19

---

Record 9
An optimized crystal structure of SrGa4Cu2. Source: the Alexandria database, functional PBE.

```
SrGa4Cu2
1.0
4.2236 0.0000 0.0000
0.0000 7.1641 0.0000
0.0000 0.0000 17.2463
Ga Cu Sr
16 8 4
Cartesian
3.1677 3.5757 10.2278
3.1677 1.2011 13.9945
3.1677 5.2104 7.9687
3.1677 2.3810 5.3714
3.1677 0.0064 1.6046
1.0559 1.6284 0.6544
1.0559 5.9630 3.2518
1.0559 4.7831 11.8749
1.0559 1.5451 3.4200
1.0559 3.5884 7.0185
3.1677 5.5356 16.5919
3.1677 5.6189 13.8263
1.0559 1.9536 9.2776
3.1677 5.1271 5.2031
1.0559 7.1577 15.6417
1.0559 2.0369 12.0432
1.0559 5.9352 0.6587
1.0559 6.9516 13.1960
1.0559 3.7945 4.5729
3.1677 0.2125 4.0503
1.0559 4.8109 9.2819
3.1677 2.3532 7.9644
3.1677 1.2289 16.5876
3.1677 3.3696 12.6734
1.0559 0.0807 6.5878
1.0559 3.5013 15.2110
3.1677 7.0833 10.6585
3.1677 3.6627 2.0353
```

Computed properties:
- calculated total energy (eV per atom) = -3.426
- energy relative to the lowest polymorph listed for this composition (kJ/mol of atoms) = 0.00
- density (Mg/m³) = 6.28
- formation energy (kJ/mol of atoms) = -28

---

Record 10
An optimized crystal structure of Sr2Ag3Sn4Au. Source: the Alexandria database, functional PBE.

```
Sr2Ag3Sn4Au
1.0
-2.5293 -0.7349 -3.9642
4.0312 -0.3878 -2.5002
0.1529 -11.3658 2.0095
Sn Sr Ag Au
4 2 3 1
Cartesian
2.0726 -4.4302 -0.5011
0.7510 -0.5613 -3.2322
-1.1688 -7.4970 -0.7216
0.0000 0.0000 0.0000
-1.2248 -3.3282 -1.4586
2.1287 -8.5989 0.2359
0.0764 -5.6829 1.0047
-1.1328 -10.1697 -0.2491
2.0367 -1.7574 -0.9737
0.8274 -6.2442 -2.2275
```

Computed properties:
- calculated total energy (eV per atom) = -3.511
- density (Mg/m³) = 7.43
- formation energy (kJ/mol of atoms) = -38

---

Record 11
An optimized crystal structure of Li2Ir2Os. Source: the Alexandria database, functional PBE.

```
Li2Ir2Os
1.0
-0.1714 3.5369 -1.9447
-2.9213 -1.4518 -2.3830
-4.2206 2.2956 0.3510
Os Li Ir
1 2 2
Cartesian
0.0000 0.0000 0.0000
-2.1195 1.3111 -1.6248
-5.1938 3.0696 -2.3518
-4.3441 0.9432 -2.0979
-2.9692 3.4375 -1.8787
```

Computed properties:
- calculated total energy (eV per atom) = -6.025
- density (Mg/m³) = 15.44
- formation energy (kJ/mol of atoms) = 51

---

Record 12
An optimized crystal structure of Sc5B2Te. Source: the Alexandria database, functional PBE.

```
Sc5B2Te
1.0
-4.5801 -0.6793 -4.7677
4.7941 -1.2669 -4.4250
-0.5602 -5.4667 5.9492
B Sc Te
4 10 2
Cartesian
-1.2226 -1.3729 -6.9451
1.4367 -0.5733 -2.2476
-2.2681 -0.5390 -3.3256
2.4822 -1.4072 -5.8670
0.8096 -3.1569 -6.5200
1.9890 -4.7786 1.8423
0.4815 -5.3250 -1.2638
-2.6632 -4.8024 0.1704
0.0000 0.0000 0.0000
-2.3351 -2.6343 -5.0858
2.3170 -2.6105 -3.4139
-1.1557 -4.2560 3.2765
0.1070 -0.9731 -4.5963
-0.8277 -2.0879 -1.9797
-0.1196 -4.1930 -3.9199
-0.2266 -3.2199 0.6764
```

Computed properties:
- calculated total energy (eV per atom) = -6.492
- formation energy (no corrections) (kcal/mol of atoms) = -10.91
- density (Mg/m³) = 4.26

---

Record 13
An optimized crystal structure of PaInNi. Source: the Alexandria database, functional PBE.

```
PaInNi
1.0
3.7095 0.0000 0.0000
0.0000 7.5115 0.0000
0.0000 0.0000 13.2285
Pa In Ni
6 6 6
Cartesian
0.0000 5.8773 6.0271
0.0000 6.3463 9.9214
0.0000 5.8773 0.5871
0.0000 1.6342 7.2014
0.0000 1.1652 3.3071
0.0000 1.6342 12.6414
1.8547 3.2977 5.0517
1.8547 4.2138 8.1769
1.8547 4.2138 11.6659
1.8547 3.2977 1.5626
1.8547 6.0336 3.3071
1.8547 1.4779 9.9214
0.0000 3.4228 9.9214
0.0000 4.0887 3.3071
1.8547 0.4777 1.2363
1.8547 7.0337 11.9923
1.8547 0.4777 5.3780
1.8547 7.0337 7.8505
```

Computed properties:
- calculated total energy (eV per atom) = -6.255
- density (Mg/m³) = 10.94
- formation energy (kJ/mol of atoms) = -24

---

Record 14
An optimized crystal structure of Li6Cd8Pd. Source: the Alexandria database, functional PBE.

```
Li6Cd8Pd
1.0
6.7138 0.1803 2.6109
1.8486 6.4568 2.6109
0.2326 0.1803 7.1998
Li Cd Pd
6 8 1
Cartesian
7.2823 4.1936 6.4631
1.5127 2.6237 5.9585
4.6509 0.8107 4.7315
4.1440 6.0066 7.6901
3.8169 4.3019 3.4060
4.9781 2.5154 9.0156
2.9587 0.9979 7.4323
6.4841 5.0260 9.1578
6.3256 1.2290 7.1622
2.3507 4.2009 8.3455
2.3109 1.7913 3.2638
6.4442 2.6164 4.0762
5.8362 5.8194 4.9894
2.4693 5.5883 5.2595
0.0000 0.0000 0.0000
```

Computed properties:
- calculated total energy (eV per atom) = -1.758
- energy relative to the lowest polymorph listed for this composition (kJ/mol of atoms) = 7.00
- density (Mg/m³) = 5.73
- formation energy (kJ/mol of atoms) = -15

---

Record 15
An optimized crystal structure of NaLa3Os. Source: the Alexandria database, functional PBE.

```
NaLa3Os
1.0
-0.9658 -5.3604 -1.7049
5.6049 -1.0633 0.1682
-0.4756 -1.6458 5.4441
La Na Os
3 1 1
Cartesian
2.8024 -0.5317 0.0841
-0.4829 -2.6802 -0.8525
-0.2378 -0.8229 2.7221
2.0817 -4.0348 1.9537
0.0000 0.0000 0.0000
```

Computed properties:
- calculated total energy (eV per atom) = -5.505
- energy relative to the lowest polymorph listed for this composition (kJ/mol of atoms) = 4.93
- density (Mg/m³) = 5.63
- formation energy (kJ/mol of atoms) = -4

---

Record 16
An optimized crystal structure of LaZrTa2. Source: the Alexandria database, functional PBE.

```
LaZrTa2
1.0
3.6909 0.0000 0.0000
0.0000 3.6909 0.0000
0.0000 0.0000 7.0449
Ta La Zr
2 1 1
Cartesian
0.0000 0.0000 3.1212
0.0000 0.0000 0.4013
1.8454 1.8454 5.2837
1.8454 1.8454 1.7612
```

Computed properties:
- calculated total energy (eV per atom) = -8.914
- energy relative to the lowest polymorph listed for this composition (kJ/mol of atoms) = 16.87
- density (Mg/m³) = 10.24
- formation energy (kJ/mol of atoms) = 37

---

Record 17
An optimized crystal structure of Ac2Pa2Te7. Source: the Alexandria database, functional PBE.

```
Ac2Pa2Te7
1.0
8.1838 0.1773 0.2559
-0.7036 8.4959 -0.1833
-0.7036 -3.1551 7.8904
Te Pa Ac
7 2 2
Cartesian
0.0000 0.0000 0.0000
5.6510 3.5558 0.4668
5.6510 -0.8116 3.4932
1.1256 1.9623 7.4962
1.4283 2.2881 3.3019
1.1256 6.3297 4.4698
5.3483 3.2300 4.6611
6.8743 1.6740 2.4156
-0.0976 3.8441 5.5474
3.3883 0.5830 5.4894
3.3883 4.9351 2.4736
```

Computed properties:
- calculated total energy (eV per atom) = -5.415
- formation energy (no corrections) (kcal/mol of atoms) = -21.73
- energy relative to the lowest polymorph listed for this composition (kJ/mol of atoms) = 17.51
- density (Mg/m³) = 5.49

---

Record 18
An optimized crystal structure of LiRh2O4. Source: the Alexandria database, functional PBE.

```
LiRh2O4
1.0
5.2913 -0.0314 3.0280
-1.6935 5.0130 3.0280
0.0267 0.0370 6.0995
Rh O Li
4 8 2
Cartesian
2.6590 0.0028 4.5638
2.6456 -0.0157 1.5140
1.8122 2.5093 6.0778
0.0000 0.0000 0.0000
2.6234 3.8166 7.4362
0.0833 3.9776 9.1269
1.0010 1.2020 4.7193
0.2439 3.8335 6.0771
3.5411 1.0410 3.0287
3.3805 1.1851 6.0784
2.6119 3.8005 4.6976
1.0126 1.2181 7.4580
3.5906 3.1340 9.1167
0.0338 1.8846 3.0389
```

Computed properties:
- calculated total energy (eV per atom) = -6.243
- formation energy (no corrections) (kcal/mol of atoms) = -23.90
- density (Mg/m³) = 5.73

---

Record 19
An optimized crystal structure of TiSi2HRh. Source: the Alexandria database, functional PBE.

```
TiSi2HRh
1.0
-2.0210 -2.9781 1.8221
2.7545 -0.5236 2.1994
-1.5704 2.6558 2.5989
Si H Ti Rh
2 1 1 1
Cartesian
-1.0105 -1.4890 0.9111
-0.7852 1.3279 1.2994
0.0000 0.0000 0.0000
1.3772 -0.2618 1.0997
-0.4185 -0.4229 3.3102
```

Computed properties:
- calculated total energy (eV per atom) = -6.147
- density (Mg/m³) = 5.95

---

Record 20
An optimized crystal structure of CaThNiPt. Source: the Alexandria database, functional PBE.

```
CaThNiPt
1.0
-1.6451 -0.0949 4.6983
-4.6588 -1.4594 0.9774
-0.8205 -4.3584 2.2628
Ca Pt Ni Th
1 1 1 1
Cartesian
0.0000 0.0000 0.0000
-5.3433 -4.4345 5.9539
-1.7811 -1.4782 1.9846
-3.5622 -2.9563 3.9693
```

Computed properties:
- calculated total energy (eV per atom) = -5.917
- density (Mg/m³) = 10.01
- formation energy (kJ/mol of atoms) = -58

---

Record 21
An optimized crystal structure of La2H12Rh3Pb. Source: the Alexandria database, functional PBE.

```
La2H12Rh3Pb
1.0
-5.5350 -3.1024 1.0388
-0.0180 -5.8534 2.6602
-2.1900 -0.8658 5.9828
La H Pb Rh
2 12 1 3
Cartesian
-4.7182 -5.9848 5.8996
-3.0248 -3.8368 3.7822
-1.0748 -3.7000 2.4010
-4.1724 -6.3519 3.4197
-6.6681 -6.1216 7.2808
-5.3757 -3.5887 5.2605
-5.7977 -8.1204 5.9492
-2.3672 -6.2330 4.4213
-2.3192 -5.1128 6.1588
-3.5705 -3.4698 6.2621
-1.9453 -1.7012 3.7326
-4.4572 -7.2241 7.9305
-5.4237 -4.7088 3.5230
-3.2858 -2.5975 1.7512
0.0000 0.0000 0.0000
-1.0950 -0.4329 2.9914
-2.7675 -1.5512 0.5194
-0.0090 -2.9267 1.3301
```

Computed properties:
- calculated total energy (eV per atom) = -4.431
- density (Mg/m³) = 7.21

---

Record 22
An optimized crystal structure of RbAlGaIr2. Source: the Alexandria database, functional PBE.

```
RbAlGaIr2
1.0
-3.2546 2.3333 -2.3755
-4.0420 -3.0947 2.4982
-0.2685 3.1271 3.4393
Rb Ir Al Ga
1 2 1 1
Cartesian
-2.0210 -1.5473 1.2491
-0.1342 1.5635 1.7197
-1.6273 1.1666 -1.1878
0.0000 0.0000 0.0000
-3.7826 1.1829 1.7810
```

Computed properties:
- calculated total energy (eV per atom) = -4.127
- density (Mg/m³) = 7.65
- formation energy (kJ/mol of atoms) = 93

---

Record 23
An optimized crystal structure of Tb7Sn2C2. Source: the Alexandria database, functional PBE.

```
Tb7Sn2C2
1.0
-0.4961 1.8532 2.9572
-0.9908 -6.7774 6.1819
7.9131 -1.6365 4.4538
Sn Tb C
2 7 2
Cartesian
0.9750 -5.6424 5.8004
4.4530 -2.5644 6.5558
1.6472 0.3143 4.2811
1.2762 -2.3875 5.9120
6.5749 -2.5611 9.0105
3.3270 -5.2258 8.0347
6.2345 -6.0346 9.0293
4.7343 -1.1803 3.6347
7.3046 -0.9180 6.0024
4.1111 -5.5164 10.4493
0.7075 -1.9724 3.4556
```

Computed properties:
- calculated total energy (eV per atom) = -5.606
- density (Mg/m³) = 8.38
- formation energy (kJ/mol of atoms) = -25